No. 1
Entry from Alexandria via LeMat-Bulk: crystalline CeTl2AuSe4 at its relaxed geometry (PBE).

Unit cell a=7.4240 b=4.0684 c=8.3886 alpha=90.00 beta=112.14 gamma=90.00
With the nearest neighbours (Å) after each atom.
Space group P2/m (No. 10)
One atom of each set of equivalent atoms:
Ce 0.0000 0.0000 0.0000 (multiplicity 1)  6 Se 2.83-3.04
Tl 0.0000 0.5000 0.5000 (multiplicity 1)  6 Se 3.15-3.43
Tl 0.5000 0.0000 0.5000 (multiplicity 1)  4 Se 3.21
Au 0.5000 0.5000 0.0000 (multiplicity 1)  4 Se 2.65
Se 0.2039 0.5000 0.2319 (multiplicity 2)  2 Ce 2.83, 1 Tl 3.15
Se 0.2906 0.0000 0.8234 (multiplicity 2)  2 Au 2.65

Computed properties:
V (Å³ per atom): 29.34
ΔE_f (raw) (eV per atom): -0.735

---

No. 2
Entry from Alexandria via LeMat-Bulk: crystalline Be2CdF at its relaxed geometry (PBE).

Unit cell a=6.0450 b=6.0450 c=6.0450 alpha=90.00 beta=90.00 gamma=90.00
With the nearest neighbours (Å) after each atom.
Space group Fm-3m (No. 225)
One atom of each set of equivalent atoms:
Be 0.2500 0.2500 0.2500 (multiplicity 8)  4 Cd 2.62, 4 F 2.62
Cd 0.0000 0.0000 0.0000 (multiplicity 4)  8 Be 2.62
F 0.0000 0.0000 0.5000 (multiplicity 4)  8 Be 2.62

Computed properties:
V (Å³ per atom): 13.81
Polymorph energy (0 for the lowest one) (meV/atom): 478
ΔE_f (raw) (eV per atom): 0.311

---

No. 3
Entry from Alexandria via LeMat-Bulk: crystalline Cd3InNi at its relaxed geometry (PBE).

Unit cell a=5.0175 b=5.0175 c=5.0175 alpha=90.00 beta=90.00 gamma=90.00
With the nearest neighbours (Å) after each atom.
Space group Pm-3m (No. 221)
One atom of each set of equivalent atoms:
Cd 0.0000 0.0000 0.5000 (multiplicity 3)  2 Ni 2.51
In 0.5000 0.5000 0.5000 (multiplicity 1)  12 Cd 3.55
Ni 0.0000 0.0000 0.0000 (multiplicity 1)  6 Cd 2.51

Computed properties:
V (Å³ per atom): 25.26
Calculated formation energy (eV per atom): 0.174
Polymorph energy (0 for the lowest one) (meV/atom): 129

---

Let's list uncorrected energy in order: -4.220; -2.249; -2.079 eV per atom.